[1]
{
  "formula": "Y2PPb",
  "functional": "PBE",
  "state": "relaxed",
  "lattice_angstrom": [[2.077, 5.691, -0.005], [-2.077, 5.691, -0.005], [0.000, 0.346, 4.332]],
  "species": ["Pb", "Y", "P", "Y"],
  "fractional_positions": [[0.276, 0.276, 0.114], [0.003, 0.003, 0.127], [0.486, 0.486, 0.640], [0.735, 0.735, 0.620]],
  "dft_energy_ev_per_atom": -6.28,
  "relative_energy_ev_per_atom": 0.3163,
  "sg": "No. 8",
  "vol_a3_per_fu": 102
}

---

[2]
{
  "formula": "AcCo2As2",
  "functional": "PBE",
  "state": "relaxed",
  "lattice_angstrom": [[4.068, 0.000, 0.000], [0.000, 4.068, 0.000], [-2.034, -2.034, 5.641]],
  "species": ["Co", "As", "Co", "As", "Ac"],
  "fractional_positions": [[0.250, 0.750, 0.500], [0.646, 0.646, 0.292], [0.750, 0.250, 0.500], [0.354, 0.354, 0.708], [0.000, 0.000, 0.000]],
  "dft_energy_ev_per_atom": -6.23,
  "sg": "No. 139",
  "vol_a3_per_fu": 93
}

---

[3]
{
  "formula": "CaMnTl2I6",
  "functional": "PBE",
  "state": "relaxed",
  "lattice_angstrom": [[8.297, 0.000, 0.000], [4.148, 7.185, 0.000], [4.148, 2.395, 6.892]],
  "species": ["Ca", "I", "I", "Tl", "I", "Mn", "I", "I", "I", "Tl"],
  "fractional_positions": [[0.821, 0.821, 0.536], [0.651, 0.092, 0.781], [0.092, 0.475, 0.781], [0.032, 0.032, 0.904], [0.997, 0.568, 0.266], [0.322, 0.322, 0.034], [0.169, 0.997, 0.266], [0.475, 0.651, 0.781], [0.568, 0.169, 0.266], [0.534, 0.534, 0.399]],
  "raw_formation_energy_mev_per_atom": -833,
  "dft_energy_ev_per_atom": -3.35,
  "sg": "No. 146",
  "vol_a3_per_fu": 411
}

---

[4]
{
  "formula": "LaDy2VN4",
  "functional": "PBE",
  "state": "relaxed",
  "lattice_angstrom": [[-2.145, -2.501, 0.892], [2.558, -1.767, -5.332], [8.672, -5.326, 5.924]],
  "species": ["N", "Dy", "N", "Dy", "N", "Dy", "N", "N", "V", "N", "V", "N", "N", "La", "La", "Dy"],
  "fractional_positions": [[0.737, 0.474, 0.624], [0.371, 0.741, 0.958], [0.737, 0.474, 0.876], [0.629, 0.259, 0.458], [0.000, 0.000, 0.000], [0.629, 0.259, 0.042], [0.263, 0.526, 0.124], [0.263, 0.526, 0.376], [0.824, 0.647, 0.750], [0.000, 0.000, 0.500], [0.176, 0.353, 0.250], [0.418, 0.837, 0.750], [0.582, 0.163, 0.250], [0.083, 0.165, 0.750], [0.917, 0.835, 0.250], [0.371, 0.741, 0.542]],
  "raw_formation_energy_mev_per_atom": -1393,
  "dft_energy_ev_per_atom": -8.46,
  "sg": "No. 63",
  "vol_a3_per_fu": 119
}

---

[5]
{
  "formula": "LiHo2ZrS5",
  "functional": "PBE",
  "state": "relaxed",
  "lattice_angstrom": [[3.783, 0.000, 0.000], [-1.891, 7.993, 0.000], [0.000, 0.000, 11.580]],
  "species": ["S", "Ho", "S", "Li", "Ho", "S", "Ho", "S", "S", "S", "Li", "S", "Ho", "S", "S", "S", "Zr", "Zr"],
  "fractional_positions": [[0.504, 0.007, 0.279], [0.109, 0.218, 0.692], [0.283, 0.567, 0.664], [0.488, 0.975, 0.473], [0.891, 0.782, 0.192], [0.049, 0.099, 0.068], [0.869, 0.739, 0.795], [0.691, 0.382, 0.848], [0.496, 0.993, 0.779], [0.309, 0.618, 0.348], [0.512, 0.025, 0.973], [0.640, 0.281, 0.501], [0.131, 0.261, 0.295], [0.360, 0.719, 0.001], [0.717, 0.433, 0.164], [0.951, 0.901, 0.568], [0.805, 0.610, 0.506], [0.195, 0.390, 0.006]],
  "raw_formation_energy_mev_per_atom": -1728,
  "dft_energy_ev_per_atom": -6.20,
  "sg": "No. 36",
  "vol_a3_per_fu": 175
}

---

[6]
{
  "formula": "LaPdPb",
  "functional": "PBE",
  "state": "relaxed",
  "lattice_angstrom": [[-2.448, 0.683, -2.827], [1.442, -4.081, -2.235], [-3.697, -0.135, 3.169]],
  "species": ["La", "Pb", "Pd"],
  "fractional_positions": [[0.667, 0.667, 0.333], [0.166, 0.333, 0.667], [0.167, 0.000, 0.000]],
  "dft_energy_ev_per_atom": -5.34,
  "sg": "No. 187",
  "vol_a3_per_fu": 78
}

---

[7]
{
  "formula": "MgAl2H4Pb2O4F6",
  "functional": "PBE",
  "state": "relaxed",
  "lattice_angstrom": [[-4.978, 0.864, 0.551], [1.297, -7.292, -1.361], [1.168, 3.383, 7.157]],
  "species": ["F", "F", "Al", "F", "Al", "H", "Pb", "H", "Pb", "F", "O", "H", "O", "F", "Mg", "O", "F", "H", "O"],
  "fractional_positions": [[0.318, 0.647, 0.852], [0.698, 0.797, 0.321], [0.943, 0.654, 0.212], [0.864, 0.273, 0.557], [0.051, 0.376, 0.807], [0.384, 0.585, 0.144], [0.823, 0.780, 0.769], [0.674, 0.160, 0.890], [0.172, 0.251, 0.250], [0.676, 0.383, 0.167], [0.180, 0.481, 0.079], [0.321, 0.870, 0.130], [0.815, 0.549, 0.941], [0.296, 0.233, 0.699], [0.497, 0.015, 0.510], [0.744, 0.103, 0.762], [0.131, 0.757, 0.463], [0.611, 0.446, 0.876], [0.250, 0.928, 0.258]],
  "dft_energy_ev_per_atom": -5.42,
  "relative_energy_ev_per_atom": 0.0130,
  "sg": "No. 2",
  "vol_a3_per_fu": 235
}

---

[8]
{
  "formula": "HfMgIn",
  "functional": "PBE",
  "state": "relaxed",
  "lattice_angstrom": [[-0.600, -2.531, 1.717], [3.022, -0.222, 0.728], [-2.237, 5.326, 4.239]],
  "species": ["Hf", "Mg", "In"],
  "fractional_positions": [[0.001, 0.001, 0.002], [0.334, 0.334, 0.667], [0.666, 0.666, 0.331]],
  "dft_energy_ev_per_atom": -4.80,
  "sg": "No. 107",
  "vol_a3_per_fu": 66
}

---

[9]
{
  "formula": "GaSbTe2Ir",
  "functional": "PBE",
  "state": "relaxed",
  "lattice_angstrom": [[-3.891, -3.232, 1.100], [3.232, -4.025, -0.392], [1.081, 0.385, 4.955]],
  "species": ["Ir", "Te", "Te", "Ga", "Sb"],
  "fractional_positions": [[0.500, 0.500, 0.500], [0.500, 0.000, 0.000], [0.000, 0.500, 0.000], [0.000, 0.000, 0.000], [0.000, 0.000, 0.500]],
  "raw_formation_energy_mev_per_atom": 1225,
  "dft_energy_ev_per_atom": -3.23,
  "relative_energy_ev_per_atom": 0.8107,
  "sg": "No. 123",
  "vol_a3_per_fu": 136
}

---

[10]
{
  "formula": "RbGa4Hg",
  "functional": "PBE",
  "state": "relaxed",
  "lattice_angstrom": [[5.916, 0.000, 0.000], [2.958, 5.124, 0.000], [2.958, 1.708, 4.831]],
  "species": ["Ga", "Ga", "Hg", "Rb", "Ga", "Ga"],
  "fractional_positions": [[0.626, 0.123, 0.626], [0.123, 0.626, 0.626], [0.000, 0.000, 0.000], [0.250, 0.250, 0.250], [0.626, 0.626, 0.626], [0.626, 0.626, 0.123]],
  "dft_energy_ev_per_atom": -2.17,
  "sg": "No. 216",
  "vol_a3_per_fu": 146
}

---

[11]
{
  "formula": "Ac6Ge3N2",
  "functional": "PBE",
  "state": "relaxed",
  "lattice_angstrom": [[-4.872, -1.539, -0.077], [1.531, -4.805, -0.820], [2.113, 1.135, 13.217]],
  "species": ["N", "Ge", "Ac", "Ac", "Ge", "Ac", "Ac", "N", "Ac", "Ge", "Ac"],
  "fractional_positions": [[0.606, 0.606, 0.212], [0.172, 0.172, 0.344], [0.584, 0.084, 0.168], [0.701, 0.701, 0.401], [0.000, 0.000, 0.000], [0.916, 0.416, 0.832], [0.299, 0.299, 0.599], [0.394, 0.394, 0.788], [0.084, 0.584, 0.168], [0.828, 0.828, 0.656], [0.416, 0.916, 0.832]],
  "raw_formation_energy_mev_per_atom": -817,
  "dft_energy_ev_per_atom": -5.83,
  "sg": "No. 139",
  "vol_a3_per_fu": 338
}

---

[12]
{
  "formula": "AlTl",
  "functional": "PBE",
  "state": "relaxed",
  "lattice_angstrom": [[4.204, 0.000, 0.000], [-2.102, 3.641, 0.000], [0.000, 0.000, 6.865]],
  "species": ["Tl", "Al", "Al", "Tl"],
  "fractional_positions": [[0.000, 0.000, 0.000], [0.667, 0.333, 0.750], [0.333, 0.667, 0.250], [0.000, 0.000, 0.500]],
  "dft_energy_ev_per_atom": -2.64,
  "sg": "No. 194",
  "vol_a3_per_fu": 53
}

---

[13]
{
  "formula": "CaThZnNi",
  "functional": "PBE",
  "state": "relaxed",
  "lattice_angstrom": [[-0.505, 4.843, -1.261], [-2.006, 3.254, 3.269], [2.900, 3.483, 2.182]],
  "species": ["Th", "Ca", "Ni", "Zn"],
  "fractional_positions": [[0.000, 0.000, 0.000], [0.500, 0.500, 0.500], [0.250, 0.250, 0.250], [0.750, 0.750, 0.750]],
  "dft_energy_ev_per_atom": -4.26,
  "sg": "No. 216",
  "vol_a3_per_fu": 90
}

---

[14]
{
  "formula": "La2NdFe",
  "functional": "PBE",
  "state": "relaxed",
  "lattice_angstrom": [[-3.685, 0.110, 1.019], [1.341, -6.142, -0.631], [2.652, -0.411, 9.639]],
  "species": ["Nd", "La", "La", "La", "Fe", "Fe", "La", "Nd"],
  "fractional_positions": [[0.457, 0.809, 0.250], [0.873, 0.724, 0.577], [0.127, 0.276, 0.423], [0.127, 0.276, 0.077], [0.811, 0.440, 0.250], [0.189, 0.560, 0.750], [0.873, 0.724, 0.923], [0.543, 0.191, 0.750]],
  "dft_energy_ev_per_atom": -5.69,
  "relative_energy_ev_per_atom": 0.0000,
  "sg": "No. 11",
  "vol_a3_per_fu": 117
}

---

[15]
{
  "formula": "KZr2Hg",
  "functional": "PBE",
  "state": "relaxed",
  "lattice_angstrom": [[-7.557, 2.240, -9.417], [-9.148, -0.214, -8.190], [-9.654, 2.716, -7.086]],
  "species": ["Zr", "Zr", "Hg", "K"],
  "fractional_positions": [[0.513, 0.513, 0.513], [0.987, 0.987, 0.987], [0.250, 0.250, 0.250], [0.750, 0.750, 0.750]],
  "dft_energy_ev_per_atom": -4.19,
  "sg": "No. 166",
  "vol_a3_per_fu": 106
}

---

[16]
{
  "formula": "ZnO6F12",
  "functional": "PBE",
  "state": "relaxed",
  "lattice_angstrom": [[0.014, -1.764, -6.331], [5.610, 3.377, -0.563], [3.080, -5.486, 1.901]],
  "species": ["O", "O", "O", "F", "F", "F", "F", "F", "F", "Zn", "F", "F", "F", "F", "O", "F", "F", "O", "O"],
  "fractional_positions": [[0.622, 0.068, 0.278], [0.722, 0.378, 0.932], [0.932, 0.722, 0.378], [0.541, 0.198, 0.416], [0.911, 0.181, 0.238], [0.459, 0.802, 0.584], [0.238, 0.911, 0.181], [0.181, 0.238, 0.911], [0.762, 0.089, 0.819], [0.000, 0.000, 0.000], [0.198, 0.416, 0.541], [0.584, 0.459, 0.802], [0.089, 0.819, 0.762], [0.802, 0.584, 0.459], [0.068, 0.278, 0.622], [0.819, 0.762, 0.089], [0.416, 0.541, 0.198], [0.278, 0.622, 0.068], [0.378, 0.932, 0.722]],
  "raw_formation_energy_mev_per_atom": -59,
  "dft_energy_ev_per_atom": -2.87,
  "sg": "No. 148",
  "vol_a3_per_fu": 283
}

---

[17]
{
  "formula": "Sc5Zn3",
  "functional": "PBE",
  "state": "relaxed",
  "lattice_angstrom": [[8.321, 0.000, 0.000], [4.161, 7.206, 0.000], [0.000, 0.000, 5.486]],
  "species": ["Sc", "Sc", "Sc", "Zn", "Sc", "Sc", "Sc", "Zn", "Zn", "Sc", "Zn", "Sc", "Sc", "Sc", "Zn", "Zn"],
  "fractional_positions": [[0.333, 0.333, 0.000], [0.762, 0.000, 0.750], [0.762, 0.238, 0.250], [0.402, 0.598, 0.250], [0.667, 0.667, 0.000], [0.333, 0.333, 0.500], [0.667, 0.667, 0.500], [0.000, 0.598, 0.750], [0.598, 0.000, 0.250], [0.238, 0.000, 0.250], [0.402, 0.000, 0.750], [0.000, 0.238, 0.750], [0.238, 0.762, 0.750], [0.000, 0.762, 0.250], [0.000, 0.402, 0.250], [0.598, 0.402, 0.750]],
  "dft_energy_ev_per_atom": -4.63,
  "relative_energy_ev_per_atom": 0.0618,
  "sg": "No. 193",
  "vol_a3_per_fu": 164
}

---

[18]
{
  "formula": "La2HoSi2",
  "functional": "PBE",
  "state": "relaxed",
  "lattice_angstrom": [[-2.910, -2.175, 2.688], [-2.574, -3.998, -6.022], [5.276, -5.409, 1.336]],
  "species": ["Ho", "Si", "Si", "La", "Ho", "Si", "Si", "La", "La", "La"],
  "fractional_positions": [[0.000, 0.500, 0.500], [0.000, 0.886, 0.614], [0.000, 0.114, 0.386], [0.500, 0.678, 0.822], [0.000, 0.000, 0.000], [0.000, 0.614, 0.114], [0.000, 0.386, 0.886], [0.500, 0.178, 0.678], [0.500, 0.822, 0.322], [0.500, 0.322, 0.178]],
  "raw_formation_energy_mev_per_atom": -688,
  "dft_energy_ev_per_atom": -5.74,
  "relative_energy_ev_per_atom": 0.0000,
  "sg": "No. 127",
  "vol_a3_per_fu": 133
}

---

[19]
{
  "formula": "AsP2SCl",
  "functional": "PBE",
  "state": "relaxed",
  "lattice_angstrom": [[-4.265, 0.947, -1.735], [1.347, -1.627, -4.200], [-1.367, -4.072, 1.138]],
  "species": ["P", "Cl", "P", "As", "S"],
  "fractional_positions": [[0.000, 0.500, 0.000], [0.000, 0.000, 0.500], [0.500, 0.000, 0.000], [0.500, 0.500, 0.500], [0.000, 0.000, 0.000]],
  "raw_formation_energy_mev_per_atom": 919,
  "dft_energy_ev_per_atom": -3.37,
  "relative_energy_ev_per_atom": 0.0000,
  "sg": "No. 123",
  "vol_a3_per_fu": 98
}

---

[20]
{
  "formula": "PrTm2Al",
  "functional": "PBE",
  "state": "relaxed",
  "lattice_angstrom": [[4.774, 0.000, 0.000], [0.000, 4.792, 0.000], [0.000, 0.000, 4.792]],
  "species": ["Al", "Pr", "Tm", "Tm"],
  "fractional_positions": [[0.500, 0.000, 0.000], [0.500, 0.500, 0.500], [0.000, 0.000, 0.500], [0.000, 0.500, 0.000]],
  "dft_energy_ev_per_atom": -4.53,
  "relative_energy_ev_per_atom": 0.0342,
  "sg": "No. 123",
  "vol_a3_per_fu": 110
}

---

[21]
{
  "formula": "ErCo7C2",
  "functional": "PBE",
  "state": "relaxed",
  "lattice_angstrom": [[3.894, 0.000, 0.000], [0.000, 5.922, -0.100], [0.000, -2.702, 5.270]],
  "species": ["Co", "Co", "C", "Co", "Co", "C", "Co", "Co", "Co", "Er"],
  "fractional_positions": [[0.500, 0.052, 0.338], [0.000, 0.294, 0.706], [0.500, 0.696, 0.304], [0.500, 0.500, 0.500], [0.500, 0.662, 0.948], [0.500, 0.304, 0.696], [0.500, 0.338, 0.052], [0.000, 0.706, 0.294], [0.500, 0.948, 0.662], [0.000, 0.000, 0.000]],
  "dft_energy_ev_per_atom": -7.06,
  "sg": "No. 65",
  "vol_a3_per_fu": 120
}

---

[22]
{
  "formula": "KP2PdS",
  "functional": "PBE",
  "state": "relaxed",
  "lattice_angstrom": [[4.654, 0.000, 0.000], [0.000, 4.654, 0.000], [0.000, 0.000, 5.354]],
  "species": ["S", "Pd", "P", "P", "K"],
  "fractional_positions": [[0.000, 0.000, 0.500], [0.000, 0.000, 0.000], [0.000, 0.500, 0.000], [0.500, 0.000, 0.000], [0.500, 0.500, 0.500]],
  "raw_formation_energy_mev_per_atom": 232,
  "dft_energy_ev_per_atom": -4.02,
  "relative_energy_ev_per_atom": 0.0000,
  "sg": "No. 123",
  "vol_a3_per_fu": 116
}

---

[23]
{
  "formula": "CaTiS2",
  "functional": "PBE",
  "state": "relaxed",
  "lattice_angstrom": [[-1.853, 2.856, 1.313], [-1.053, -3.395, 0.826], [3.879, 0.084, 5.291]],
  "species": ["S", "Ti", "S", "Ca"],
  "fractional_positions": [[0.333, 0.667, 0.780], [0.000, 0.000, 0.000], [0.667, 0.333, 0.220], [0.000, 0.000, 0.500]],
  "raw_formation_energy_mev_per_atom": -1546,
  "dft_energy_ev_per_atom": -6.08,
  "relative_energy_ev_per_atom": 0.0000,
  "sg": "No. 164",
  "vol_a3_per_fu": 76
}

---

[24]
{
  "formula": "Rb2Li3BiF12",
  "functional": "PBE",
  "state": "relaxed",
  "lattice_angstrom": [[7.925, 0.497, 0.353], [4.346, 6.646, 0.353], [4.346, 2.530, 6.155]],
  "species": ["Bi", "F", "Li", "Rb", "F", "F", "F", "Li", "F", "F", "F", "F", "F", "F", "Li", "F", "Rb", "F"],
  "fractional_positions": [[0.000, 0.000, 0.000], [0.915, 0.334, 0.915], [0.000, 0.000, 0.500], [0.593, 0.593, 0.593], [0.318, 0.318, 0.923], [0.318, 0.923, 0.318], [0.085, 0.666, 0.085], [0.500, 0.000, 0.000], [0.923, 0.318, 0.318], [0.085, 0.085, 0.666], [0.682, 0.682, 0.077], [0.077, 0.682, 0.682], [0.334, 0.915, 0.915], [0.915, 0.915, 0.334], [0.000, 0.500, 0.000], [0.666, 0.085, 0.085], [0.407, 0.407, 0.407], [0.682, 0.077, 0.682]],
  "raw_formation_energy_mev_per_atom": -2176,
  "dft_energy_ev_per_atom": -4.07,
  "sg": "No. 166",
  "vol_a3_per_fu": 298
}